1.
{"formula": "RbNb2CrPb", "functional": "PBE-GGA", "state": "optimized geometry", "cell": [[-0.3176, -1.4321, 4.7753], [-3.7447, -2.6879, -1.0551], [3.0339, -3.8525, -0.9535]], "species": ["Pb", "Cr", "Nb", "Nb", "Rb"], "fractional_positions": [[0.5000, 0.5000, 0.5000], [0.0000, 0.5000, 0.0000], [0.0000, 0.0000, 0.5000], [0.5000, 0.0000, 0.0000], [0.0000, 0.0000, 0.0000]], "density_g_cm3": 7.5, "formation_energy_ev_per_atom": 2.54}

---

2.
{"formula": "CeNd7Al4", "functional": "PBE-GGA", "state": "optimized geometry", "cell": [[5.6094, 0.0000, 0.0000], [2.8047, 8.9225, 0.3434], [2.8047, 0.6201, 7.0891]], "species": ["Ce", "Nd", "Nd", "Nd", "Nd", "Nd", "Nd", "Nd", "Al", "Al", "Al", "Al"], "fractional_positions": [[0.0000, 0.0000, 0.0000], [0.7944, 0.8812, 0.5301], [0.2056, 0.1188, 0.4699], [0.0661, 0.6089, 0.2589], [0.9339, 0.3911, 0.7411], [0.2916, 0.6518, 0.7650], [0.5000, 0.0000, 0.0000], [0.7084, 0.3482, 0.2350], [0.5517, 0.2423, 0.6543], [0.4483, 0.7577, 0.3457], [0.6736, 0.6682, 0.9847], [0.3264, 0.3318, 0.0153]], "density_g_cm3": 5.9, "formation_energy_ev_per_atom": -0.06}

---

3.
{"formula": "Mn22FeC6", "functional": "PBE-GGA", "state": "optimized geometry", "cell": [[-1.6464, -7.1499, 0.4692], [4.4327, -5.0017, -3.0637], [4.0388, -4.4306, 4.2555]], "species": ["Mn", "Mn", "Mn", "Mn", "Mn", "Mn", "Mn", "Mn", "Mn", "Mn", "Mn", "Mn", "Mn", "Mn", "Mn", "Mn", "Mn", "Mn", "Mn", "Mn", "Mn", "Mn", "Fe", "C", "C", "C", "C", "C", "C"], "fractional_positions": [[0.7500, 0.7500, 0.7500], [0.2500, 0.2500, 0.2500], [0.6178, 0.6178, 0.1467], [0.6178, 0.6178, 0.6178], [0.6178, 0.1467, 0.6178], [0.1467, 0.6178, 0.6178], [0.3822, 0.3822, 0.8533], [0.3822, 0.3822, 0.3822], [0.3822, 0.8533, 0.3822], [0.8533, 0.3822, 0.3822], [0.6636, 0.0000, 0.3364], [0.0000, 0.6636, 0.3364], [0.0000, 0.0000, 0.3364], [0.0000, 0.6636, 0.0000], [0.6636, 0.0000, 0.0000], [0.0000, 0.0000, 0.6636], [0.0000, 0.3364, 0.0000], [0.0000, 0.3364, 0.6636], [0.6636, 0.3364, 0.0000], [0.3364, 0.0000, 0.6636], [0.3364, 0.0000, 0.0000], [0.3364, 0.6636, 0.0000], [0.0000, 0.0000, 0.0000], [0.2757, 0.7243, 0.2757], [0.7243, 0.2757, 0.2757], [0.7243, 0.7243, 0.2757], [0.7243, 0.2757, 0.7243], [0.2757, 0.7243, 0.7243], [0.2757, 0.2757, 0.7243]], "density_g_cm3": 7.9, "formation_energy_ev_per_atom": -0.08}

---

4.
{"formula": "BaMoPb2", "functional": "PBE-GGA", "state": "optimized geometry", "cell": [[-0.4831, -2.8336, -2.2535], [-1.9530, -1.9615, 2.8851], [-7.1555, 3.2916, -2.6050]], "species": ["Ba", "Mo", "Pb", "Pb"], "fractional_positions": [[0.0000, 0.6250, 0.4837], [0.5000, 0.6250, 0.9689], [0.0000, 0.1250, 0.8395], [0.5000, 0.1250, 0.2079]], "density_g_cm3": 8.9, "formation_energy_ev_per_atom": 0.40, "de_polymorph_mev_per_atom": 159.5}

---

- Which formula does entry 2 have?
  CeNd7Al4

---

- What is the formula in the first record?
  RbNb2CrPb